1.
12
Lattice="3.254 0.000 0.000 -1.627 2.818 0.000 0.000 0.000 34.476" Properties=species:S:1:pos:R:3 comment="ZrSeCl2 SCAN single point on PBEsol structure" mass_density_g_cm3=3.798 de_polymorph_ev_per_atom=0.5614 sg="R-3m (166)" pbc="T T T"
Zr 0.000 0.000 0.000
Zr 0.000 1.879 22.984
Zr 1.627 0.939 11.492
Se 0.000 0.000 17.238
Se 0.000 1.879 5.746
Se 1.627 0.939 28.730
Cl 0.000 0.000 2.311
Cl 0.000 0.000 32.165
Cl 0.000 1.879 20.673
Cl 0.000 1.879 25.295
Cl 1.627 0.939 9.181
Cl 1.627 0.939 13.803

---

2.
12
Lattice="6.285 0.000 0.000 0.000 6.285 0.000 0.000 0.000 6.285" Properties=species:S:1:pos:R:3 comment="ZrSeCl SCAN single point on PBEsol structure" mass_density_g_cm3=5.503 sg="F-43m (216)" pbc="T T T"
Zr 0.000 0.000 0.000
Zr 0.000 3.142 3.142
Zr 3.142 0.000 3.142
Zr 3.142 3.142 0.000
Se 0.000 0.000 3.142
Se 0.000 3.142 0.000
Se 3.142 0.000 0.000
Se 3.142 3.142 3.142
Cl 1.571 1.571 4.713
Cl 1.571 4.713 1.571
Cl 4.713 1.571 1.571
Cl 4.713 4.713 4.713

---

3.
44
Lattice="10.849 0.000 0.000 0.000 10.849 0.000 0.000 0.000 10.501" Properties=species:S:1:pos:R:3 comment="ZrSe4Cl6 SCAN single point on PBEsol structure" mass_density_g_cm3=3.331 sg="P4_2/ncm (138)" pbc="T T T"
Zr 0.000 0.000 0.000
Zr 0.000 5.425 5.250
Zr 5.425 0.000 5.250
Zr 5.425 5.425 0.000
Se 0.999 0.999 4.394
Se 0.999 4.426 9.644
Se 1.154 6.579 0.000
Se 1.154 9.695 5.250
Se 4.271 6.579 5.250
Se 4.271 9.695 0.000
Se 4.426 0.999 9.644
Se 4.426 4.426 4.394
Se 6.423 6.423 6.107
Se 6.423 9.851 0.857
Se 6.579 1.154 0.000
Se 6.579 4.271 5.250
Se 9.695 1.154 5.250
Se 9.695 4.271 0.000
Se 9.851 6.423 0.857
Se 9.851 9.851 6.107
Cl 0.611 7.284 6.779
Cl 0.611 8.990 1.529
Cl 1.475 1.475 1.232
Cl 1.475 3.950 6.482
Cl 1.859 6.036 3.722
Cl 1.859 10.238 8.972
Cl 3.566 6.036 8.972
Cl 3.566 10.238 3.722
Cl 3.950 1.475 6.482
Cl 3.950 3.950 1.232
Cl 4.813 7.284 1.529
Cl 4.813 8.990 6.779
Cl 6.036 1.859 3.722
Cl 6.036 3.566 8.972
Cl 6.900 6.900 9.268
Cl 6.900 9.374 4.018
Cl 7.284 0.611 6.779
Cl 7.284 4.813 1.529
Cl 8.990 0.611 1.529
Cl 8.990 4.813 6.779
Cl 9.374 6.900 4.018
Cl 9.374 9.374 9.268
Cl 10.238 1.859 8.972
Cl 10.238 3.566 3.722

---

Summary of raw formation energy in eV per atom
-0.40, -0.35, -1.04
(order as listed above)
Summary of energy in eV per atom
-17.08, -19.93, -15.48
(order as listed above)
Summary of spin magnetization in μB/cell
1.0, 3.5, 0.0
(order as listed above)